(1)
DFT (PBE) results for crystalline Pr2TmPuS4 at its relaxed geometry.

Cell: 6.9104 3.9696 6.9960 Å, 90.00 108.98 90.00°
Space group P2/m (No. 10)
Asymmetric unit:
1 Pr 0.0000 0.0000 0.0000 [1 per cell]
2 Pr 0.5000 0.5000 0.0000 [1 per cell]
3 Tm 0.0000 0.5000 0.5000 [1 per cell]
4 Pu 0.5000 0.0000 0.5000 [1 per cell]
5 S 0.2384 0.0000 0.7300 [2 per cell]
6 S 0.2515 0.5000 0.2670 [2 per cell]

Values from the calculation:
- E (eV per atom) = -7.560
- mass density (Mg/m³) = 7.5


(2)
DFT (PBE) results for crystalline Np2TcSn8 at its relaxed geometry.

Cell: 4.6731 4.6731 12.1934 Å, 90.00 90.00 90.00°
Space group P4/mmm (No. 123)
Asymmetric unit:
1 Np 0.0000 0.0000 0.1910 [2 per cell]
2 Tc 0.0000 0.0000 0.5000 [1 per cell]
3 Sn 0.0000 0.5000 0.0000 [2 per cell]
4 Sn 0.0000 0.5000 0.3756 [4 per cell]
5 Sn 0.5000 0.5000 0.1885 [2 per cell]

Values from the calculation:
- E (eV per atom) = -6.309
- E_form (eV/atom) = -0.1021
- mass density (Mg/m³) = 9.5


(3)
DFT (PBE) results for crystalline TaFeH at its relaxed geometry.

Cell: 3.0564 4.1686 5.2146 Å, 90.00 107.22 90.00°
Space group P2_1 (No. 4)
Asymmetric unit:
1 Ta 0.1280 0.0000 0.2534 [2 per cell]
2 Fe 0.4149 0.9911 0.8310 [2 per cell]
3 H 0.2921 0.2500 0.5887 [2 per cell]

Values from the calculation:
- E (eV per atom) = -7.979
- mass density (Mg/m³) = 12.4


(4)
DFT (PBE) results for crystalline LaHfTiP2 at its relaxed geometry.

Cell: 5.2241 5.2241 5.3262 Å, 90.00 90.00 90.00°
Space group P4/mmm (No. 123)
Asymmetric unit:
1 La 0.0000 0.0000 0.0000 [1 per cell]
2 Hf 0.0000 0.0000 0.5000 [1 per cell]
3 Ti 0.5000 0.5000 0.5000 [1 per cell]
4 P 0.0000 0.5000 0.0000 [2 per cell]

Values from the calculation:
- E (eV per atom) = -5.190
- E_form (eV/atom) = 1.5288
- mass density (Mg/m³) = 4.9


(5)
DFT (PBE) results for crystalline Sn3I4Br2 at its relaxed geometry.

Cell: 4.3428 4.3428 23.9477 Å, 90.00 90.00 120.00°
Space group P3m1 (No. 156)
Asymmetric unit:
1 Sn 0.0000 0.0000 0.0000 [1 per cell]
2 Sn 0.0000 0.0000 0.3450 [1 per cell]
3 Sn 0.6667 0.3333 0.6815 [1 per cell]
4 I 0.0000 0.0000 0.5962 [1 per cell]
5 I 0.0000 0.0000 0.7667 [1 per cell]
6 I 0.6667 0.3333 0.2598 [1 per cell]
7 I 0.6667 0.3333 0.4303 [1 per cell]
8 Br 0.6667 0.3333 0.0748 [1 per cell]
9 Br 0.6667 0.3333 0.9252 [1 per cell]

Values from the calculation:
- E (eV per atom) = -2.898
- mass density (Mg/m³) = 4.3


(6)
DFT (PBE) results for crystalline Ag3AuCl4 at its relaxed geometry.

Cell: 6.0829 6.0829 11.9292 Å, 90.00 90.00 90.00°
Space group I-42m (No. 121)
Asymmetric unit:
1 Ag 0.0000 0.0000 0.0000 [2 per cell]
2 Ag 0.0000 0.5000 0.2500 [4 per cell]
3 Au 0.0000 0.0000 0.5000 [2 per cell]
4 Cl 0.2490 0.2490 0.3755 [8 per cell]

Values from the calculation:
- E (eV per atom) = -2.695
- mass density (Mg/m³) = 5.0


(7)
DFT (PBE) results for crystalline SnP2OsCl at its relaxed geometry.

Cell: 4.5591 4.5591 5.2256 Å, 90.00 90.00 90.00°
Space group P4/mmm (No. 123)
Asymmetric unit:
1 Sn 0.0000 0.0000 0.0000 [1 per cell]
2 P 0.0000 0.5000 0.5000 [2 per cell]
3 Os 0.5000 0.5000 0.5000 [1 per cell]
4 Cl 0.5000 0.5000 0.0000 [1 per cell]

Values from the calculation:
- E (eV per atom) = -5.199
- mass density (Mg/m³) = 6.2


(8)
DFT (PBE) results for crystalline PmNd2Sm6Er at its relaxed geometry.

Cell: 9.1900 15.2947 9.8243 Å, 90.00 98.41 90.00°
Space group C2/c (No. 15)
Asymmetric unit:
1 Pm 0.0000 0.0192 0.2500 [4 per cell]
2 Nd 0.2476 0.0505 0.5428 [8 per cell]
3 Sm 0.0651 0.1874 0.9442 [8 per cell]
4 Sm 0.1006 0.3943 0.1196 [8 per cell]
5 Sm 0.2058 0.2222 0.3121 [8 per cell]
6 Er 0.0000 0.4081 0.7500 [4 per cell]

Values from the calculation:
- E (eV per atom) = -4.602
- E_form (eV/atom) = 0.1145
- mass density (Mg/m³) = 7.3


(9)
DFT (PBE) results for crystalline ZrZn2Co at its relaxed geometry.

Cell: 5.1590 8.6928 2.7807 Å, 90.00 90.00 90.00°
Space group Cmmm (No. 65)
Asymmetric unit:
1 Zr 0.0000 0.0000 0.0000 [2 per cell]
2 Zn 0.2500 0.2500 0.5000 [4 per cell]
3 Co 0.0000 0.5000 0.0000 [2 per cell]

Values from the calculation:
- E (eV per atom) = -4.471
- E_form (eV/atom) = 0.0796
- mass density (Mg/m³) = 7.5


(10)
DFT (PBE) results for crystalline YCu2Ru2 at its relaxed geometry.

Cell: 4.2129 4.2129 9.7954 Å, 90.00 90.00 90.00°
Space group I4/mmm (No. 139)
Asymmetric unit:
1 Y 0.0000 0.0000 0.0000 [2 per cell]
2 Cu 0.0000 0.5000 0.2500 [4 per cell]
3 Ru 0.0000 0.0000 0.3848 [4 per cell]

Values from the calculation:
- E (eV per atom) = -6.520
- E_form (eV/atom) = 0.1216
- mass density (Mg/m³) = 8.0


(11)
DFT (PBE) results for crystalline CdAs2P2 at its relaxed geometry.

Cell: 4.7139 4.7139 5.4051 Å, 90.00 90.00 120.00°
Space group P-3m1 (No. 164)
Asymmetric unit:
1 Cd 0.0000 0.0000 0.0000 [1 per cell]
2 As 0.3333 0.6667 0.3025 [2 per cell]
3 P 0.3333 0.6667 0.7403 [2 per cell]

Values from the calculation:
- E (eV per atom) = -3.865
- E_form (eV/atom) = 0.3414
- mass density (Mg/m³) = 5.2


(12)
DFT (PBE) results for crystalline La5Cu2Bi at its relaxed geometry.

Cell: 8.4236 8.4236 13.5525 Å, 90.00 90.00 90.00°
Space group I4/mcm (No. 140)
Asymmetric unit:
1 La 0.0000 0.0000 0.0000 [4 per cell]
2 La 0.1505 0.3495 0.1405 [16 per cell]
3 Cu 0.1380 0.3620 0.5000 [8 per cell]
4 Bi 0.0000 0.0000 0.2500 [4 per cell]

Values from the calculation:
- E (eV per atom) = -4.922
- E_form (eV/atom) = -0.3331
- mass density (Mg/m³) = 7.1